(1)
Below is a relaxed La2GeS crystal, with properties calculated at the GGA-PBE level.

abc: 4.322 4.322 7.435
angles: 73.10 73.10 60.00
Sites, in units of the cell vectors:
La (0.251, 0.251, 0.248)
La (0.749, 0.749, 0.752)
S (0.000, 0.000, 0.000)
Ge (0.500, 0.500, 0.500)

Crystal system: trigonal
Symmetry: R-3m, No. 166
DFT total energy in eV/atom: -6.14
M_tot in μB per cell: 0.00
Raw formation energy in eV per atom: -1.4898
Relative energy among the computed polymorphs in kcal/mol of atoms: 0.87


(2)
Below is a relaxed LaGeS2 crystal, with properties calculated at the GGA-PBE level.

abc: 8.548 8.548 8.548
angles: 28.41 28.41 28.41
Sites, in units of the cell vectors:
S (0.896, 0.896, 0.896)
S (0.104, 0.104, 0.104)
Ge (0.000, 0.000, 0.000)
La (0.500, 0.500, 0.500)

Crystal system: trigonal
Symmetry: R-3m, No. 166
DFT total energy in eV/atom: -5.46
M_tot in μB per cell: 0.00
Raw formation energy in eV per atom: -1.0091


(3)
Below is a relaxed La6Ge3S14 crystal, with properties calculated at the GGA-PBE level.

abc: 5.848 10.452 10.452
angles: 120.00 90.00 90.00
Sites, in units of the cell vectors:
S (0.981, 0.077, 0.224)
S (0.451, 0.000, 0.000)
S (0.726, 0.831, 0.585)
S (0.959, 0.333, 0.667)
S (0.981, 0.776, 0.853)
S (0.487, 0.558, 0.814)
S (0.487, 0.186, 0.744)
S (0.487, 0.256, 0.442)
S (0.726, 0.755, 0.169)
S (0.239, 0.580, 0.502)
S (0.239, 0.921, 0.420)
S (0.726, 0.415, 0.245)
S (0.981, 0.147, 0.923)
S (0.239, 0.498, 0.079)
La (0.751, 0.432, 0.975)
La (0.751, 0.543, 0.568)
La (0.751, 0.025, 0.457)
La (0.243, 0.901, 0.690)
La (0.243, 0.310, 0.210)
La (0.243, 0.790, 0.099)
Ge (0.487, 0.667, 0.333)
Ge (0.336, 0.333, 0.667)
Ge (0.827, 0.000, 0.000)

Crystal system: trigonal
Symmetry: P3, No. 143
DFT total energy in eV/atom: -5.98
M_tot in μB per cell: 0.00
Raw formation energy in eV per atom: -1.5759


(4)
Below is a relaxed LaGe3S crystal, with properties calculated at the GGA-PBE level.

abc: 5.690 5.690 5.690
angles: 90.00 90.00 90.00
Last column: magnetic moment on the atom in μB.
Sites, in units of the cell vectors:
Ge (0.000, 0.000, 0.500)  0.01
Ge (0.500, 0.000, 0.000)  0.08
Ge (0.000, 0.500, 0.000)  0.09
La (0.000, 0.000, 0.000)  0.11
S (0.500, 0.500, 0.500)  0.55

Crystal system: cubic
Symmetry: Pm-3m, No. 221
DFT total energy in eV/atom: -3.36
M_tot in μB per cell: 1.51
Raw formation energy in eV per atom: 1.2208
Relative energy among the computed polymorphs in kcal/mol of atoms: 28.69


(5)
Below is a relaxed LaGe2S crystal, with properties calculated at the GGA-PBE level.

abc: 8.252 8.252 6.469
angles: 50.37 50.37 90.00
Sites, in units of the cell vectors:
Ge (0.176, 0.625, 0.250)
Ge (0.375, 0.426, 0.750)
Ge (0.574, 0.125, 0.250)
Ge (0.875, 0.824, 0.750)
La (0.000, 0.000, 0.000)
La (0.750, 0.250, 0.500)
S (0.250, 0.750, 0.500)
S (0.500, 0.500, 0.000)

Crystal system: tetragonal
Symmetry: I-42d, No. 122
DFT total energy in eV/atom: -4.92
M_tot in μB per cell: 0.00
Raw formation energy in eV per atom: -0.3446


(6)
Below is a relaxed La4Ge3S12 crystal, with properties calculated at the GGA-PBE level.

abc: 11.672 11.672 11.672
angles: 114.75 114.75 114.75
Sites, in units of the cell vectors:
S (0.815, 0.629, 0.814)
S (0.651, 0.919, 0.376)
S (0.887, 0.915, 0.203)
S (0.314, 0.129, 0.315)
S (0.315, 0.314, 0.129)
S (0.151, 0.876, 0.419)
S (0.814, 0.815, 0.629)
S (0.376, 0.651, 0.919)
S (0.876, 0.419, 0.151)
S (0.187, 0.719, 0.114)
S (0.919, 0.376, 0.651)
S (0.629, 0.814, 0.815)
S (0.129, 0.315, 0.314)
S (0.387, 0.703, 0.415)
S (0.219, 0.687, 0.614)
S (0.419, 0.151, 0.876)
S (0.915, 0.203, 0.887)
S (0.203, 0.887, 0.915)
S (0.614, 0.219, 0.687)
S (0.703, 0.415, 0.387)
S (0.687, 0.614, 0.219)
S (0.719, 0.114, 0.187)
S (0.415, 0.387, 0.703)
S (0.114, 0.187, 0.719)
Ge (0.147, 0.534, 0.359)
Ge (0.647, 0.859, 0.034)
Ge (0.534, 0.359, 0.147)
Ge (0.034, 0.647, 0.859)
Ge (0.859, 0.034, 0.647)
Ge (0.359, 0.147, 0.534)
La (0.791, 0.567, 0.027)
La (0.527, 0.067, 0.291)
La (0.027, 0.791, 0.567)
La (0.504, 0.504, 0.504)
La (0.567, 0.027, 0.791)
La (0.004, 0.004, 0.004)
La (0.067, 0.291, 0.527)
La (0.291, 0.527, 0.067)

Crystal system: trigonal
Symmetry: R3c, No. 161
DFT total energy in eV/atom: -5.71
M_tot in μB per cell: 0.00
Raw formation energy in eV per atom: -1.3330


(7)
Below is a relaxed La5Ge3S crystal, with properties calculated at the GGA-PBE level.

abc: 8.105 8.105 9.614
angles: 114.93 114.93 90.00
Last column: magnetic moment on the atom in μB.
Sites, in units of the cell vectors:
La (0.673, 0.173, 0.723)  0.05
La (0.327, 0.827, 0.277)  0.05
La (0.950, 0.450, 0.277)  0.05
La (0.500, 0.500, 0.000)  0.16
La (0.000, 0.000, 0.000)  0.16
La (0.050, 0.550, 0.723)  0.05
La (0.173, 0.050, 0.723)  0.05
La (0.450, 0.327, 0.277)  0.05
La (0.550, 0.673, 0.723)  0.05
La (0.827, 0.950, 0.277)  0.05
Ge (0.884, 0.616, 0.000)  -0.01
Ge (0.250, 0.250, 0.500)  -0.01
Ge (0.616, 0.116, 0.000)  -0.01
Ge (0.116, 0.384, 0.000)  -0.01
Ge (0.384, 0.884, 0.000)  -0.01
Ge (0.750, 0.750, 0.500)  -0.01
S (0.250, 0.750, 0.500)  0.00
S (0.750, 0.250, 0.500)  0.00

Crystal system: tetragonal
Symmetry: I4/mcm, No. 140
DFT total energy in eV/atom: -5.71
M_tot in μB per cell: 1.39
Raw formation energy in eV per atom: -0.9724


(8)
Below is a relaxed LaGeS2 crystal, with properties calculated at the GGA-PBE level.

abc: 5.444 5.444 8.687
angles: 71.74 71.74 90.00
Sites, in units of the cell vectors:
La (0.000, 0.000, 0.000)
La (0.750, 0.250, 0.500)
Ge (0.250, 0.750, 0.500)
Ge (0.500, 0.500, 0.000)
S (0.604, 0.125, 0.250)
S (0.375, 0.396, 0.750)
S (0.875, 0.854, 0.750)
S (0.146, 0.625, 0.250)

Crystal system: tetragonal
Symmetry: I-42d, No. 122
DFT total energy in eV/atom: -5.29
M_tot in μB per cell: 0.00
Raw formation energy in eV per atom: -0.8360


(9)
Below is a relaxed LaGe2S6 crystal, with properties calculated at the GGA-PBE level.

abc: 6.566 8.415 8.415
angles: 83.99 77.04 77.04
Last column: magnetic moment on the atom in μB.
Sites, in units of the cell vectors:
S (0.664, 0.945, 0.831)  0.02
S (0.515, 0.581, 0.134)  0.26
S (0.995, 0.460, 0.274)  0.02
S (0.005, 0.540, 0.726)  0.02
S (0.485, 0.419, 0.866)  0.26
S (0.836, 0.169, 0.055)  0.02
S (0.495, 0.274, 0.460)  0.02
S (0.336, 0.055, 0.169)  0.02
S (0.015, 0.134, 0.581)  0.26
S (0.985, 0.866, 0.419)  0.26
S (0.505, 0.726, 0.540)  0.02
S (0.164, 0.831, 0.945)  0.02
Ge (0.219, 0.230, 0.363)  0.00
Ge (0.281, 0.637, 0.770)  0.00
Ge (0.719, 0.363, 0.230)  0.00
Ge (0.781, 0.770, 0.637)  0.00
La (0.750, 0.841, 0.159)  0.03
La (0.250, 0.159, 0.841)  0.03

Crystal system: monoclinic
Symmetry: C2/c, No. 15
DFT total energy in eV/atom: -4.99
M_tot in μB per cell: 2.01
Raw formation energy in eV per atom: -0.6614


(10)
Below is a relaxed La8GeS6 crystal, with properties calculated at the GGA-PBE level.

abc: 4.217 10.684 10.684
angles: 120.00 90.00 90.00
Sites, in units of the cell vectors:
La (0.747, 0.706, 0.671)
La (0.750, 0.333, 0.667)
La (0.253, 0.294, 0.329)
La (0.253, 0.035, 0.706)
La (0.250, 0.667, 0.333)
La (0.747, 0.965, 0.294)
La (0.253, 0.671, 0.965)
La (0.747, 0.329, 0.035)
Ge (0.500, 0.000, 0.000)
S (0.750, 0.866, 0.516)
S (0.250, 0.134, 0.484)
S (0.750, 0.484, 0.350)
S (0.250, 0.350, 0.866)
S (0.750, 0.650, 0.134)
S (0.250, 0.516, 0.650)

Crystal system: trigonal
Symmetry: P-3, No. 147
DFT total energy in eV/atom: -6.20
M_tot in μB per cell: 0.02
Raw formation energy in eV per atom: -1.6124


(11)
Below is a relaxed La2Ge2S5 crystal, with properties calculated at the GGA-PBE level.

abc: 7.181 7.244 10.148
angles: 110.91 110.74 90.00
Sites, in units of the cell vectors:
La (0.116, 0.626, 0.225)
La (0.884, 0.401, 0.775)
La (0.609, 0.126, 0.225)
La (0.391, 0.901, 0.775)
S (0.479, 0.244, 0.706)
S (0.792, 0.269, 0.059)
S (0.233, 0.710, 0.941)
S (0.727, 0.744, 0.706)
S (0.767, 0.769, 0.059)
S (0.939, 0.239, 0.500)
S (0.208, 0.210, 0.941)
S (0.273, 0.038, 0.294)
S (0.061, 0.739, 0.500)
S (0.521, 0.538, 0.294)
Ge (0.500, 0.478, 0.000)
Ge (0.739, 0.832, 0.500)
Ge (0.261, 0.332, 0.500)
Ge (0.000, 0.978, 0.000)

Crystal system: orthorhombic
Symmetry: Ima2, No. 46
DFT total energy in eV/atom: -5.59
M_tot in μB per cell: 0.00
Raw formation energy in eV per atom: -1.1769


(12)
Below is a relaxed La4Ge2S crystal, with properties calculated at the GGA-PBE level.

abc: 5.316 5.316 8.844
angles: 72.51 72.51 90.00
Sites, in units of the cell vectors:
Ge (0.629, 0.629, 0.741)
Ge (0.371, 0.371, 0.259)
La (0.819, 0.819, 0.362)
La (0.500, 0.000, 0.000)
La (0.181, 0.181, 0.638)
La (0.000, 0.500, 0.000)
S (0.000, 0.000, 0.000)

Crystal system: tetragonal
Symmetry: I4/mmm, No. 139
DFT total energy in eV/atom: -5.56
M_tot in μB per cell: 0.00
Raw formation energy in eV per atom: -0.8388